Computed, not measured: a geometry-optimized CaZr2BrF structure at the PBEsol level of DFT.

The uncorrected formation energy is 0.19 eV/atom.

Unit cell a=4.8816 b=4.8816 c=5.8403 alpha=90.00 beta=90.00 gamma=90.00
Last column: nearest neighbours and their distance in Å.
Space group P4/mmm (No. 123)
Symmetry-distinct sites (fractional):
Ca (0.0000, 0.0000, 0.0000)  2 Br 2.92
Zr (0.0000, 0.5000, 0.5000)  2 Br 2.44
Br (0.0000, 0.0000, 0.5000)  4 Zr 2.44
F (0.5000, 0.5000, 0.0000)  4 Ca 3.45, 8 Zr 3.81

***

Computed, not measured: a geometry-optimized KHg3Pt structure at the PBEsol level of DFT.

The uncorrected energy is -2.184 eV per atom.

Unit cell a=5.2516 b=5.2516 c=5.2516 alpha=90.00 beta=90.00 gamma=90.00
Last column: nearest neighbours and their distance in Å.
Space group Pm-3m (No. 221)
Symmetry-distinct sites (fractional):
K (0.0000, 0.0000, 0.0000)  12 Hg 3.71
Hg (0.0000, 0.5000, 0.5000)  2 Pt 2.63
Pt (0.5000, 0.5000, 0.5000)  6 Hg 2.63

***

Computed, not measured: a geometry-optimized Zn2In structure at the PBEsol level of DFT.

The uncorrected energy is -1.948 eV per atom.

Unit cell a=10.1198 b=3.0476 c=7.0869 alpha=90.00 beta=92.63 gamma=90.00
Last column: nearest neighbours and their distance in Å.
Space group Cm (No. 8)
Symmetry-distinct sites (fractional):
Zn (0.0000, 0.0000, 0.0000)  3 Zn 2.54-2.61, 1 In 2.74
Zn (0.1132, 0.5000, 0.2600)  7 Zn 2.61-2.82
Zn (0.2353, 0.0000, 0.5202)  4 Zn 2.64-2.65, 4 In 2.85-2.94
Zn (0.3824, 0.5000, 0.3094)  6 Zn 2.54-2.82
In (0.0069, 0.5000, 0.6477)  8 Zn 2.85-3.06, 2 In 3.05
In (0.2638, 0.0000, 0.9272)  4 Zn 2.74-2.89, 2 In 3.05

***

Computed, not measured: a geometry-optimized KLiMnS2 structure at the PBEsol level of DFT.

The uncorrected formation energy is -0.99 eV/atom.

Unit cell a=3.9996 b=3.9996 c=13.0002 alpha=90.00 beta=90.00 gamma=90.00
Last column: nearest neighbours and their distance in Å.
Space group I-4m2 (No. 119)
Symmetry-distinct sites (fractional):
K (0.0000, 0.0000, 0.0000)  8 S 3.42, 4 Mn 3.82, 4 Li 3.82
Li (0.0000, 0.5000, 0.7500)  4 S 2.40
Mn (0.0000, 0.5000, 0.2500)  4 S 2.40
S (0.0000, 0.0000, 0.3524)  2 Mn 2.40, 2 Li 2.40

***

Computed, not measured: a geometry-optimized Zn5Cu structure at the PBEsol level of DFT.

The uncorrected energy is -2.056 eV per atom.

Unit cell a=3.7168 b=11.2876 c=3.8239 alpha=90.00 beta=90.00 gamma=90.00
Last column: nearest neighbours and their distance in Å.
Space group Cmmm (No. 65)
Symmetry-distinct sites (fractional):
Zn (0.0000, 0.0000, 0.0000)  8 Zn 2.63-2.66, 4 Cu 2.67
Zn (0.0000, 0.1638, 0.5000)  2 Cu 2.62, 10 Zn 2.66-2.72
Zn (0.0000, 0.3354, 0.0000)  10 Zn 2.63-2.72, 2 Cu 2.67
Cu (0.0000, 0.5000, 0.5000)  12 Zn 2.62-2.67

***

Computed, not measured: a geometry-optimized Na2CdAgTe structure at the PBEsol level of DFT.

The uncorrected formation energy is 0.36 eV/atom.

Unit cell a=5.8302 b=5.8302 c=5.2808 alpha=90.00 beta=90.00 gamma=90.00
Last column: nearest neighbours and their distance in Å.
Space group P4/mmm (No. 123)
Symmetry-distinct sites (fractional):
Na (0.0000, 0.5000, 0.0000)  2 Cd 2.92
Cd (0.0000, 0.0000, 0.0000)  2 Te 2.64, 4 Na 2.92
Ag (0.5000, 0.5000, 0.5000)  8 Na 3.93, 4 Te 4.12
Te (0.0000, 0.0000, 0.5000)  2 Cd 2.64

***

Computed, not measured: a geometry-optimized AlPSe2Br structure at the PBEsol level of DFT.

The uncorrected formation energy is 0.36 eV/atom. The calculation puts the energy above the most stable polymorph in this dataset at 112.2 meV/atom.

Unit cell a=4.8728 b=4.8728 c=4.6880 alpha=90.00 beta=90.00 gamma=90.00
Last column: nearest neighbours and their distance in Å.
Space group P4/mmm (No. 123)
Symmetry-distinct sites (fractional):
Al (0.0000, 0.0000, 0.0000)  2 Br 2.34, 4 Se 2.44
P (0.5000, 0.5000, 0.5000)  8 Se 3.38, 4 Br 3.45
Se (0.0000, 0.5000, 0.0000)  2 Al 2.44
Br (0.0000, 0.0000, 0.5000)  2 Al 2.34

***

Computed, not measured: a geometry-optimized LaPS2Cl structure at the PBEsol level of DFT.

The uncorrected formation energy is 0.36 eV/atom. The calculation puts the energy above the most stable polymorph in this dataset at 424.2 meV/atom.

Unit cell a=5.3982 b=5.3982 c=5.8953 alpha=90.00 beta=90.00 gamma=90.00
Last column: nearest neighbours and their distance in Å.
Space group P4/mmm (No. 123)
Symmetry-distinct sites (fractional):
La (0.0000, 0.0000, 0.0000)  4 S 2.70, 2 P 2.95
P (0.0000, 0.0000, 0.5000)  2 La 2.95
S (0.0000, 0.5000, 0.0000)  2 La 2.70
Cl (0.5000, 0.5000, 0.5000)  4 P 3.82, 8 S 4.00

***

Computed, not measured: a geometry-optimized K2ZnGeH structure at the PBEsol level of DFT.

The uncorrected energy is -1.994 eV per atom.

Unit cell a=6.2923 b=6.2923 c=3.4459 alpha=90.00 beta=90.00 gamma=90.00
Last column: nearest neighbours and their distance in Å.
Space group P4/mmm (No. 123)
Symmetry-distinct sites (fractional):
K (0.0000, 0.5000, 0.0000)  2 Zn 3.15, 2 K 3.45
Zn (0.0000, 0.0000, 0.0000)  2 H 1.72
Ge (0.5000, 0.5000, 0.5000)  2 Ge 3.45, 8 K 3.59
H (0.0000, 0.0000, 0.5000)  2 Zn 1.72

***

Computed, not measured: a geometry-optimized Ba2GeIrF structure at the PBEsol level of DFT.

The uncorrected formation energy is -0.08 eV/atom.

Unit cell a=6.0092 b=6.0092 c=4.0737 alpha=90.00 beta=90.00 gamma=90.00
Last column: nearest neighbours and their distance in Å.
Space group P4/mmm (No. 123)
Symmetry-distinct sites (fractional):
Ba (0.0000, 0.5000, 0.0000)  2 Ge 3.00
Ge (0.0000, 0.0000, 0.0000)  2 F 2.04
Ir (0.5000, 0.5000, 0.5000)  8 Ba 3.63
F (0.0000, 0.0000, 0.5000)  2 Ge 2.04

***

Computed, not measured: a geometry-optimized Pb2AuS2 structure at the PBEsol level of DFT.

The uncorrected formation energy is 0.14 eV/atom. The calculation puts the energy above the most stable polymorph in this dataset at 379.0 meV/atom.

Unit cell a=4.2202 b=4.2202 c=14.0467 alpha=90.00 beta=90.00 gamma=90.00
Last column: nearest neighbours and their distance in Å.
Space group I4/mmm (No. 139)
Symmetry-distinct sites (fractional):
Pb (0.0000, 0.0000, 0.1182)  4 S 2.81
Au (0.0000, 0.0000, 0.5000)  8 Pb 3.41
S (0.0000, 0.5000, 0.2500)  4 Pb 2.81, 4 S 2.98

***

Computed, not measured: a geometry-optimized Sc2MoPb structure at the PBEsol level of DFT.

The uncorrected energy is -7.368 eV per atom.

Unit cell a=3.4880 b=3.4880 c=6.5765 alpha=90.00 beta=90.00 gamma=90.00
Last column: nearest neighbours and their distance in Å.
Space group P4/mmm (No. 123)
Symmetry-distinct sites (fractional):
Sc (0.0000, 0.0000, 0.2219)  4 Mo 2.87, 1 Sc 2.92, 4 Pb 3.07
Mo (0.5000, 0.5000, 0.0000)  8 Sc 2.87
Pb (0.5000, 0.5000, 0.5000)  8 Sc 3.07, 2 Mo 3.29

***

Computed, not measured: a geometry-optimized InHgBr structure at the PBEsol level of DFT.

The uncorrected formation energy is -0.33 eV/atom. The calculation puts the energy above the most stable polymorph in this dataset at 0.0 meV/atom.

Unit cell a=4.6288 b=4.6288 c=4.8915 alpha=90.00 beta=90.00 gamma=120.00
Last column: nearest neighbours and their distance in Å.
Space group P3m1 (No. 156)
Symmetry-distinct sites (fractional):
In (0.0000, 0.0000, 0.0000)  3 Hg 3.02, 3 Br 3.09
Hg (0.6667, 0.3333, 0.2872)  3 In 3.02, 3 Br 3.30
Br (0.3333, 0.6667, 0.6836)  3 In 3.09, 3 Hg 3.30

***

Computed, not measured: a geometry-optimized CaHg3Pd structure at the PBEsol level of DFT.

The uncorrected energy is -2.124 eV per atom.

Unit cell a=5.1228 b=5.1228 c=5.1228 alpha=90.00 beta=90.00 gamma=90.00
Last column: nearest neighbours and their distance in Å.
Space group Pm-3m (No. 221)
Symmetry-distinct sites (fractional):
Ca (0.0000, 0.0000, 0.0000)  12 Hg 3.62
Hg (0.0000, 0.5000, 0.5000)  2 Pd 2.56
Pd (0.5000, 0.5000, 0.5000)  6 Hg 2.56

***

Computed, not measured: a geometry-optimized RbRe2Sb2 structure at the PBEsol level of DFT.

The uncorrected formation energy is 0.50 eV/atom.

Unit cell a=4.9805 b=4.9805 c=9.4640 alpha=90.00 beta=90.00 gamma=90.00
Last column: nearest neighbours and their distance in Å.
Space group I4/mmm (No. 139)
Symmetry-distinct sites (fractional):
Rb (0.0000, 0.0000, 0.0000)  8 Sb 3.44, 10 Re 3.60-3.70
Re (0.0000, 0.0000, 0.3803)  1 Re 2.26
Sb (0.0000, 0.5000, 0.2500)  4 Re 2.78

***

Computed, not measured: a geometry-optimized NaB2TeRh structure at the PBEsol level of DFT.

The uncorrected formation energy is 0.79 eV/atom.

Unit cell a=4.0567 b=4.0567 c=5.4683 alpha=90.00 beta=90.00 gamma=90.00
Last column: nearest neighbours and their distance in Å.
Space group P4/mmm (No. 123)
Symmetry-distinct sites (fractional):
Na (0.0000, 0.0000, 0.0000)  2 Rh 2.73, 4 Te 2.87
B (0.0000, 0.5000, 0.5000)  2 Rh 2.03
Te (0.5000, 0.5000, 0.0000)  4 Na 2.87
Rh (0.0000, 0.0000, 0.5000)  4 B 2.03

***

Computed, not measured: a geometry-optimized Li2MgZn structure at the PBEsol level of DFT.

The uncorrected energy is -1.836 eV per atom.

Unit cell a=2.9421 b=2.9421 c=28.3557 alpha=90.00 beta=90.00 gamma=120.00
Last column: nearest neighbours and their distance in Å.
Space group R-3m (No. 166, hexagonal axes)
Symmetry-distinct sites (fractional):
Li (0.0000, 0.0000, 0.2430)  3 Zn 2.75, 6 Li 2.94, 3 Mg 3.07
Mg (0.0000, 0.0000, 0.0000)  6 Mg 2.94, 6 Li 3.07
Zn (0.0000, 0.0000, 0.5000)  6 Li 2.75, 6 Zn 2.94

***

Computed, not measured: a geometry-optimized SnP3Pb structure at the PBEsol level of DFT.

The uncorrected energy is -4.268 eV per atom.

Unit cell a=4.9889 b=4.9889 c=4.9889 alpha=90.00 beta=90.00 gamma=90.00
Last column: nearest neighbours and their distance in Å.
Space group Pm-3m (No. 221)
Symmetry-distinct sites (fractional):
Sn (0.0000, 0.0000, 0.0000)  6 P 2.49
P (0.0000, 0.0000, 0.5000)  2 Sn 2.49
Pb (0.5000, 0.5000, 0.5000)  12 P 3.53

***

Computed, not measured: a geometry-optimized Li2MnRh structure at the PBEsol level of DFT.

The calculation puts the energy above the most stable polymorph in this dataset at 116.5 meV/atom.

Unit cell a=2.9427 b=4.5017 c=8.9268 alpha=90.00 beta=90.00 gamma=90.00
Last column: nearest neighbours and their distance in Å.
Space group Cmm2 (No. 35)
Symmetry-distinct sites (fractional):
Li (0.0000, 0.0000, 0.0000)  6 Li 2.69-2.94, 2 Mn 2.69
Li (0.0000, 0.5000, 0.2958)  2 Rh 2.53, 4 Li 2.69
Mn (0.0000, 0.5000, 0.7478)  2 Rh 2.46, 4 Mn 2.69, 2 Li 2.69
Rh (0.0000, 0.0000, 0.5270)  2 Mn 2.46, 2 Li 2.53, 4 Rh 2.69

***

Computed, not measured: a geometry-optimized Ta4Mo5 structure at the PBEsol level of DFT.

The uncorrected energy is -12.232 eV per atom.

Unit cell a=9.5834 b=9.5834 c=3.1758 alpha=90.00 beta=90.00 gamma=90.00
Last column: nearest neighbours and their distance in Å.
Space group I4/mmm (No. 139)
Symmetry-distinct sites (fractional):
Ta (0.0000, 0.3267, 0.0000)  4 Mo 2.72, 4 Ta 2.83
Mo (0.0000, 0.0000, 0.0000)  8 Mo 2.76
Mo (0.1662, 0.1662, 0.5000)  4 Ta 2.72, 4 Mo 2.76-2.77

***

Computed, not measured: a geometry-optimized YCdHg structure at the PBEsol level of DFT.

The uncorrected energy is -3.100 eV per atom.

Unit cell a=3.6176 b=3.6176 c=6.7000 alpha=90.00 beta=90.00 gamma=120.00
Last column: nearest neighbours and their distance in Å.
Space group P3m1 (No. 156)
Symmetry-distinct sites (fractional):
Y (0.0000, 0.0000, 0.0000)  3 Hg 3.06, 3 Cd 3.16
Cd (0.3333, 0.6667, 0.6469)  3 Hg 2.96, 3 Y 3.16
Hg (0.6667, 0.3333, 0.3345)  3 Cd 2.96, 3 Y 3.06

***

Computed, not measured: a geometry-optimized CaYAu structure at the PBEsol level of DFT.

The calculation puts the energy above the most stable polymorph in this dataset at 0.0 meV/atom.

Unit cell a=3.5865 b=3.5865 c=12.7495 alpha=90.00 beta=90.00 gamma=90.00
Last column: nearest neighbours and their distance in Å.
Space group I4mm (No. 107)
Symmetry-distinct sites (fractional):
Ca (0.0000, 0.0000, 0.0000)  4 Au 3.18, 1 Y 3.43
Y (0.0000, 0.0000, 0.2689)  4 Au 2.95
Au (0.0000, 0.0000, 0.6510)  4 Y 2.95, 4 Ca 3.18

***

Computed, not measured: a geometry-optimized CaMo2Rh structure at the PBEsol level of DFT.

The calculation puts the energy above the most stable polymorph in this dataset at 195.6 meV/atom.

Unit cell a=5.2306 b=9.5331 c=2.7399 alpha=90.00 beta=106.77 gamma=90.00
Last column: nearest neighbours and their distance in Å.
Space group C2/m (No. 12)
Symmetry-distinct sites (fractional):
Ca (0.0000, 0.0000, 0.0000)  2 Rh 2.62, 2 Ca 2.74, 4 Mo 2.87
Mo (0.2500, 0.2500, 0.5000)  4 Mo 2.62-2.74, 2 Ca 2.87, 2 Rh 2.87
Rh (0.0000, 0.5000, 0.0000)  2 Ca 2.62, 2 Rh 2.74, 4 Mo 2.87

***

Computed, not measured: a geometry-optimized SrBe2Sb structure at the PBEsol level of DFT.

The uncorrected formation energy is 0.28 eV/atom.

Unit cell a=3.3729 b=3.3729 c=6.9583 alpha=90.00 beta=90.00 gamma=90.00
Last column: nearest neighbours and their distance in Å.
Space group P4mm (No. 99)
Symmetry-distinct sites (fractional):
Sr (0.0000, 0.0000, 0.0000)  5 Be 3.02-3.23, 4 Sb 3.37, 4 Sr 3.37
Be (0.0000, 0.0000, 0.5664)  4 Be 2.53
Be (0.5000, 0.5000, 0.6879)  1 Sb 2.41, 4 Be 2.53
Sb (0.5000, 0.5000, 0.3420)  1 Be 2.41

***

Computed, not measured: a geometry-optimized NbZn2OsN structure at the PBEsol level of DFT.

The uncorrected formation energy is 1.80 eV/atom.

Unit cell a=4.7050 b=4.7050 c=4.7175 alpha=90.00 beta=90.00 gamma=90.00
Last column: nearest neighbours and their distance in Å.
Space group P4/mmm (No. 123)
Symmetry-distinct sites (fractional):
Nb (0.0000, 0.0000, 0.0000)  2 Os 2.36
Zn (0.0000, 0.5000, 0.5000)  2 Os 2.35
Os (0.0000, 0.0000, 0.5000)  4 Zn 2.35, 2 Nb 2.36
N (0.5000, 0.5000, 0.0000)  4 Nb 3.33, 8 Zn 3.33

***

Computed, not measured: a geometry-optimized Li2Mn2FeO6 structure at the PBEsol level of DFT.

The uncorrected formation energy is -1.69 eV/atom. The calculation puts the energy above the most stable polymorph in this dataset at 41.5 meV/atom.

Unit cell a=10.0224 b=4.8359 c=8.2981 alpha=90.00 beta=90.00 gamma=90.00
Last column: nearest neighbours and their distance in Å.
Space group Aea2 (No. 41)
Symmetry-distinct sites (fractional):
Li (0.2498, 0.0885, 0.0000)  4 O 1.98-2.02
Mn (0.0000, 0.0000, 0.0888)  6 O 1.88-1.93
Mn (0.0000, 0.0000, 0.4145)  6 O 1.88-1.93
Fe (0.0000, 0.0000, 0.7513)  6 O 1.92-1.94
O (0.1032, 0.3334, 0.7516)  2 Mn 1.88, 1 Fe 1.92
O (0.1060, 0.3323, 0.0815)  2 Mn 1.93, 1 Fe 1.94, 2 Li 1.98-2.02
O (0.1058, 0.3323, 0.4214)  2 Mn 1.93, 1 Fe 1.94, 2 Li 1.98-2.01

***

Computed, not measured: a geometry-optimized KHfPt2 structure at the PBEsol level of DFT.

The uncorrected energy is -6.486 eV per atom.

Unit cell a=6.7121 b=6.7121 c=6.7121 alpha=90.00 beta=90.00 gamma=90.00
Last column: nearest neighbours and their distance in Å.
Space group Fm-3m (No. 225)
Symmetry-distinct sites (fractional):
K (0.0000, 0.0000, 0.0000)  8 Pt 2.91
Hf (0.0000, 0.0000, 0.5000)  8 Pt 2.91
Pt (0.2500, 0.2500, 0.2500)  4 Hf 2.91, 4 K 2.91

***

Computed, not measured: a geometry-optimized LiSiAuCl2 structure at the PBEsol level of DFT.

The uncorrected formation energy is 0.15 eV/atom.

Unit cell a=4.5699 b=4.5699 c=6.8417 alpha=90.00 beta=90.00 gamma=90.00
Last column: nearest neighbours and their distance in Å.
Space group P4/mmm (No. 123)
Symmetry-distinct sites (fractional):
Li (0.0000, 0.0000, 0.0000)  4 Au 3.23, 2 Si 3.42
Si (0.0000, 0.0000, 0.5000)  4 Cl 2.28
Au (0.5000, 0.5000, 0.0000)  4 Li 3.23
Cl (0.0000, 0.5000, 0.5000)  2 Si 2.28